# 1
Compound: TbBe2Pd2
Source: OQMD
Functional: PBE-GGA
Structure: optimized geometry

a b c (Å): 7.1918 7.1918 5.9094
angles (deg): 90.01 90.01 150.86
With the nearest neighbours (Å) after each atom.
Atoms (fractional coordinates):
Tb1 0.1550 0.1550 0.2499  2 Be 2.89, 4 Pd 2.95, 2 Tb 3.16
Tb2 0.8450 0.8450 0.7501  2 Be 2.89, 4 Pd 2.95, 2 Tb 3.16
Be1 0.1920 0.7852 0.2508  2 Be 2.23, 6 Pd 2.38-2.45
Be2 0.2148 0.8080 0.7492  2 Be 2.23, 6 Pd 2.38-2.45
Be3 0.7852 0.1920 0.2508  2 Be 2.23, 6 Pd 2.38-2.45
Be4 0.8080 0.2148 0.7492  2 Be 2.23, 6 Pd 2.38-2.45
Pd1 0.3399 0.6601 0.0000  6 Be 2.38-2.45
Pd2 0.3402 0.6598 0.5000  6 Be 2.38-2.44
Pd3 0.6601 0.3399 0.0000  6 Be 2.38-2.45
Pd4 0.6598 0.3402 0.5000  6 Be 2.38-2.44

uncorrected energy	-5.0180	eV/atom

---

# 2
Compound: TbBePd
Source: OQMD
Functional: PBE-GGA
Structure: optimized geometry

a b c (Å): 4.4617 4.4617 4.4617
angles (deg): 60.00 60.00 60.00
With the nearest neighbours (Å) after each atom.
Atoms (fractional coordinates):
Tb1 0.0000 0.0000 0.0000  4 Pd 2.73
Be1 0.5000 0.5000 0.5000  4 Pd 2.73
Pd1 0.7500 0.7500 0.7500  4 Be 2.73, 4 Tb 2.73

uncorrected energy	-4.6960	eV/atom
relative energy among the computed polymorphs	0	meV per atom

---

# 3
Compound: TbBePd
Source: OQMD
Functional: PBE-GGA
Structure: optimized geometry

a b c (Å): 4.3187 4.3187 4.3187
angles (deg): 60.00 60.00 60.00
With the nearest neighbours (Å) after each atom.
Atoms (fractional coordinates):
Tb1 0.0000 0.0000 0.0000  4 Be 2.64
Be1 0.7500 0.7500 0.7500  4 Tb 2.64, 4 Pd 2.64
Pd1 0.5000 0.5000 0.5000  4 Be 2.64

uncorrected energy	-4.6726	eV/atom
relative energy among the computed polymorphs	23	meV per atom

---

# 4
Compound: BeTc2Pd
Source: OQMD
Functional: PBE-GGA
Structure: optimized geometry

a b c (Å): 4.2497 4.2497 4.2497
angles (deg): 60.00 60.00 60.00
With the nearest neighbours (Å) after each atom.
Atoms (fractional coordinates):
Be1 0.0000 0.0000 0.0000  4 Tc 2.60, 4 Pd 2.60
Tc1 0.5000 0.5000 0.5000  4 Tc 2.60, 4 Pd 2.60
Tc2 0.7500 0.7500 0.7500  4 Tc 2.60, 4 Be 2.60
Pd1 0.2500 0.2500 0.2500  4 Tc 2.60, 4 Be 2.60

uncorrected energy	-7.2629	eV/atom

---

# 5
Compound: BeTcPd
Source: OQMD
Functional: PBE-GGA
Structure: optimized geometry

a b c (Å): 3.8883 3.8883 3.8883
angles (deg): 60.00 60.00 60.00
With the nearest neighbours (Å) after each atom.
Atoms (fractional coordinates):
Be1 0.0000 0.0000 0.0000  4 Tc 2.38, 4 Pd 2.38
Tc1 0.2500 0.2500 0.2500  4 Be 2.38
Pd1 0.7500 0.7500 0.7500  4 Be 2.38

uncorrected energy	-6.0675	eV/atom
relative energy among the computed polymorphs	0	meV per atom

---

# 6
Compound: BeTlPd
Source: OQMD
Functional: PBE-GGA
Structure: optimized geometry

a b c (Å): 4.1543 4.1543 4.1543
angles (deg): 60.00 60.00 60.00
With the nearest neighbours (Å) after each atom.
Atoms (fractional coordinates):
Be1 0.0000 0.0000 0.0000  4 Pd 2.54, 4 Tl 2.54
Tl1 0.2500 0.2500 0.2500  4 Be 2.54
Pd1 0.7500 0.7500 0.7500  4 Be 2.54

uncorrected energy	-3.6675	eV/atom
relative energy among the computed polymorphs	0	meV per atom

---

# 7
Compound: BeTlPd2
Source: OQMD
Functional: PBE-GGA
Structure: optimized geometry

a b c (Å): 4.4549 4.4549 4.4549
angles (deg): 60.00 60.00 60.00
With the nearest neighbours (Å) after each atom.
Atoms (fractional coordinates):
Be1 0.0000 0.0000 0.0000  4 Tl 2.73, 4 Pd 2.73
Tl1 0.7500 0.7500 0.7500  4 Be 2.73, 4 Pd 2.73
Pd1 0.2500 0.2500 0.2500  4 Be 2.73, 4 Pd 2.73
Pd2 0.5000 0.5000 0.5000  4 Tl 2.73, 4 Pd 2.73

uncorrected energy	-4.0668	eV/atom

---

# 8
Compound: BeTlPd3
Source: OQMD
Functional: PBE-GGA
Structure: optimized geometry

a b c (Å): 4.2961 4.2961 4.2961
angles (deg): 90.00 90.00 90.00
With the nearest neighbours (Å) after each atom.
Atoms (fractional coordinates):
Be1 0.0000 0.0000 0.0000  6 Pd 2.15
Tl1 0.5000 0.5000 0.5000  12 Pd 3.04
Pd1 0.0000 0.0000 0.5000  2 Be 2.15
Pd2 0.0000 0.5000 0.0000  2 Be 2.15
Pd3 0.5000 0.0000 0.0000  2 Be 2.15

uncorrected energy	-4.5159	eV/atom

---

Question: The lowest uncorrected energy belongs to which entry?
Answer: BeTc2Pd